(1)
A plane-wave DFT calculation with PBE was carried out for a relaxed structure of MnAlN.

Unit cell a=7.3211 b=7.3211 c=5.7597 alpha=112.47 beta=112.47 gamma=31.31
Sites, in units of the cell vectors:
Mn 0.1829 0.1829 0.0596
Mn 0.2142 0.2142 0.5860
Mn 0.7858 0.7858 0.4140
Mn 0.8171 0.8171 0.9404
Al 0.0290 0.0290 0.2481
Al 0.4066 0.4066 0.2857
Al 0.5934 0.5934 0.7143
Al 0.9710 0.9710 0.7519
N 0.2975 0.2975 0.3998
N 0.3025 0.3025 0.9438
N 0.6975 0.6975 0.0562
N 0.7025 0.7025 0.6002

Results
Calculated total energy, eV per cell: -86.49

(2)
A plane-wave DFT calculation with PBE was carried out for a relaxed structure of MnAlN2.

Unit cell a=6.0616 b=6.0616 c=6.0616 alpha=27.97 beta=27.97 gamma=27.97
Sites, in units of the cell vectors:
Mn 0.0000 0.0000 0.0000
Al 0.5000 0.5000 0.5000
N 0.3931 0.3931 0.3931
N 0.6069 0.6069 0.6069

Results
Calculated total energy, eV per cell: -30.07

(3)
A plane-wave DFT calculation with PBE was carried out for a relaxed structure of Mn3AlN3.

Unit cell a=6.2829 b=3.9827 c=6.5599 alpha=90.00 beta=111.43 gamma=90.00
Sites, in units of the cell vectors:
Mn 0.1096 0.2500 0.3921
Mn 0.1628 0.2500 0.8762
Mn 0.2824 0.7500 0.1901
Mn 0.7176 0.2500 0.8099
Mn 0.8372 0.7500 0.1238
Mn 0.8904 0.7500 0.6079
Al 0.3687 0.7500 0.6881
Al 0.6313 0.2500 0.3119
N 0.1203 0.7500 0.4169
N 0.2122 0.7500 0.8794
N 0.3153 0.2500 0.2132
N 0.6847 0.7500 0.7868
N 0.7878 0.2500 0.1206
N 0.8797 0.2500 0.5831

Results
Calculated total energy, eV per cell: -115.93

(4)
A plane-wave DFT calculation with PBE was carried out for a relaxed structure of MnAl2N.

Unit cell a=5.1906 b=5.1906 c=5.1906 alpha=110.00 beta=110.00 gamma=108.41
Sites, in units of the cell vectors:
Mn 0.0000 0.0000 0.0000
Mn 0.7500 0.2500 0.5000
Al 0.2129 0.6250 0.0879
Al 0.3750 0.4629 0.5879
Al 0.5371 0.1250 0.9121
Al 0.8750 0.7871 0.4121
N 0.2500 0.7500 0.5000
N 0.5000 0.5000 0.0000

Results
Calculated total energy, eV per cell: -50.84

(5)
A plane-wave DFT calculation with PBE was carried out for a relaxed structure of MnAl3N.

Unit cell a=4.6223 b=4.6223 c=4.6223 alpha=90.00 beta=90.00 gamma=90.00
Sites, in units of the cell vectors:
Mn 0.0000 0.0000 0.0000
Al 0.0000 0.0000 0.5000
Al 0.0000 0.5000 0.0000
Al 0.5000 0.0000 0.0000
N 0.5000 0.5000 0.5000

Results
Polymorph energy (0 for the lowest one), kJ/mol of atoms: 121.4

(6)
A plane-wave DFT calculation with PBE was carried out for a relaxed structure of Mn3Al5N12.

Unit cell a=9.9430 b=9.9430 c=9.9430 alpha=109.47 beta=109.47 gamma=109.47
Sites, in units of the cell vectors:
Mn 0.1250 0.2500 0.3750
Mn 0.1250 0.3750 0.7500
Mn 0.2500 0.3750 0.1250
Mn 0.2500 0.8750 0.6250
Mn 0.3750 0.1250 0.2500
Mn 0.3750 0.7500 0.1250
Mn 0.6250 0.2500 0.8750
Mn 0.6250 0.8750 0.7500
Mn 0.7500 0.1250 0.3750
Mn 0.7500 0.6250 0.8750
Mn 0.8750 0.6250 0.2500
Mn 0.8750 0.7500 0.6250
Al 0.0000 0.0000 0.0000
Al 0.0000 0.0000 0.5000
Al 0.0000 0.5000 0.0000
Al 0.0000 0.5000 0.5000
Al 0.1250 0.7500 0.8750
Al 0.1250 0.8750 0.2500
Al 0.2500 0.1250 0.8750
Al 0.2500 0.6250 0.3750
Al 0.3750 0.2500 0.6250
Al 0.3750 0.6250 0.7500
Al 0.5000 0.0000 0.0000
Al 0.5000 0.0000 0.5000
Al 0.5000 0.5000 0.0000
Al 0.5000 0.5000 0.5000
Al 0.6250 0.3750 0.2500
Al 0.6250 0.7500 0.3750
Al 0.7500 0.3750 0.6250
Al 0.7500 0.8750 0.1250
Al 0.8750 0.1250 0.7500
Al 0.8750 0.2500 0.1250
N 0.0528 0.2329 0.1243
N 0.0528 0.3200 0.9286
N 0.0714 0.6243 0.3914
N 0.0714 0.9472 0.6800
N 0.1086 0.7329 0.6800
N 0.1086 0.8757 0.4286
N 0.1243 0.0528 0.2329
N 0.1243 0.5714 0.8914
N 0.1800 0.2329 0.6086
N 0.1800 0.4472 0.5714
N 0.2329 0.1243 0.0528
N 0.2329 0.6086 0.1800
N 0.2671 0.3200 0.8914
N 0.2671 0.4472 0.3757
N 0.3200 0.8914 0.2671
N 0.3200 0.9286 0.0528
N 0.3757 0.2671 0.4472
N 0.3757 0.6086 0.9286
N 0.3914 0.0714 0.6243
N 0.3914 0.8200 0.7671
N 0.4286 0.1086 0.8757
N 0.4286 0.8200 0.5528
N 0.4472 0.3757 0.2671
N 0.4472 0.5714 0.1800
N 0.5528 0.4286 0.8200
N 0.5528 0.6243 0.7329
N 0.5714 0.1800 0.4472
N 0.5714 0.8914 0.1243
N 0.6086 0.1800 0.2329
N 0.6086 0.9286 0.3757
N 0.6243 0.3914 0.0714
N 0.6243 0.7329 0.5528
N 0.6800 0.0714 0.9472
N 0.6800 0.1086 0.7329
N 0.7329 0.5528 0.6243
N 0.7329 0.6800 0.1086
N 0.7671 0.3914 0.8200
N 0.7671 0.8757 0.9472
N 0.8200 0.5528 0.4286
N 0.8200 0.7671 0.3914
N 0.8757 0.4286 0.1086
N 0.8757 0.9472 0.7671
N 0.8914 0.1243 0.5714
N 0.8914 0.2671 0.3200
N 0.9286 0.0528 0.3200
N 0.9286 0.3757 0.6086
N 0.9472 0.6800 0.0714
N 0.9472 0.7671 0.8757

Results
Calculated total energy, eV per cell: -573.47

(7)
A plane-wave DFT calculation with PBE was carried out for a relaxed structure of Mn5Al3N12.

Unit cell a=10.0029 b=10.0029 c=10.0029 alpha=109.47 beta=109.47 gamma=109.47
Sites, in units of the cell vectors:
Mn 0.0000 0.0000 0.0000
Mn 0.0000 0.0000 0.5000
Mn 0.0000 0.5000 0.0000
Mn 0.0000 0.5000 0.5000
Mn 0.1250 0.7500 0.8750
Mn 0.1250 0.8750 0.2500
Mn 0.2500 0.1250 0.8750
Mn 0.2500 0.6250 0.3750
Mn 0.3750 0.2500 0.6250
Mn 0.3750 0.6250 0.7500
Mn 0.5000 0.0000 0.0000
Mn 0.5000 0.0000 0.5000
Mn 0.5000 0.5000 0.0000
Mn 0.5000 0.5000 0.5000
Mn 0.6250 0.3750 0.2500
Mn 0.6250 0.7500 0.3750
Mn 0.7500 0.3750 0.6250
Mn 0.7500 0.8750 0.1250
Mn 0.8750 0.1250 0.7500
Mn 0.8750 0.2500 0.1250
Al 0.1250 0.2500 0.3750
Al 0.1250 0.3750 0.7500
Al 0.2500 0.3750 0.1250
Al 0.2500 0.8750 0.6250
Al 0.3750 0.1250 0.2500
Al 0.3750 0.7500 0.1250
Al 0.6250 0.2500 0.8750
Al 0.6250 0.8750 0.7500
Al 0.7500 0.1250 0.3750
Al 0.7500 0.6250 0.8750
Al 0.8750 0.6250 0.2500
Al 0.8750 0.7500 0.6250
N 0.0354 0.2199 0.1220
N 0.0354 0.3155 0.9134
N 0.0866 0.6220 0.4021
N 0.0866 0.9646 0.6845
N 0.0979 0.7199 0.6845
N 0.0979 0.8780 0.4134
N 0.1220 0.0354 0.2199
N 0.1220 0.5866 0.9021
N 0.1845 0.2199 0.5979
N 0.1845 0.4646 0.5866
N 0.2199 0.1220 0.0354
N 0.2199 0.5979 0.1845
N 0.2801 0.3155 0.9021
N 0.2801 0.4646 0.3780
N 0.3155 0.9021 0.2801
N 0.3155 0.9134 0.0354
N 0.3780 0.2801 0.4646
N 0.3780 0.5979 0.9134
N 0.4021 0.0866 0.6220
N 0.4021 0.8155 0.7801
N 0.4134 0.0979 0.8780
N 0.4134 0.8155 0.5354
N 0.4646 0.3780 0.2801
N 0.4646 0.5866 0.1845
N 0.5354 0.4134 0.8155
N 0.5354 0.6220 0.7199
N 0.5866 0.1845 0.4646
N 0.5866 0.9021 0.1220
N 0.5979 0.1845 0.2199
N 0.5979 0.9134 0.3780
N 0.6220 0.4021 0.0866
N 0.6220 0.7199 0.5354
N 0.6845 0.0866 0.9646
N 0.6845 0.0979 0.7199
N 0.7199 0.5354 0.6220
N 0.7199 0.6845 0.0979
N 0.7801 0.4021 0.8155
N 0.7801 0.8780 0.9646
N 0.8155 0.5354 0.4134
N 0.8155 0.7801 0.4021
N 0.8780 0.4134 0.0979
N 0.8780 0.9646 0.7801
N 0.9021 0.1220 0.5866
N 0.9021 0.2801 0.3155
N 0.9134 0.0354 0.3155
N 0.9134 0.3780 0.5979
N 0.9646 0.6845 0.0866
N 0.9646 0.7801 0.8780

Results
Calculated total energy, eV per cell: -623.01

(8)
A plane-wave DFT calculation with PBE was carried out for a relaxed structure of MnAl3N.

Unit cell a=3.9656 b=3.9656 c=3.9656 alpha=90.00 beta=90.00 gamma=90.00
Sites, in units of the cell vectors:
Mn 0.0000 0.0000 0.0000
Al 0.0000 0.5000 0.5000
Al 0.5000 0.0000 0.5000
Al 0.5000 0.5000 0.0000
N 0.5000 0.5000 0.5000

Results
Polymorph energy (0 for the lowest one), kJ/mol of atoms: 0.0

(9)
A plane-wave DFT calculation with PBE was carried out for a relaxed structure of MnAl2N3.

Unit cell a=5.5539 b=5.5539 c=4.9963 alpha=90.00 beta=90.00 gamma=59.45
Sites, in units of the cell vectors:
Mn 0.1576 0.8424 0.5000
Mn 0.8424 0.1576 0.0000
Al 0.1684 0.4911 0.0006
Al 0.4911 0.1684 0.5006
Al 0.5089 0.8316 0.0006
Al 0.8316 0.5089 0.5006
N 0.1629 0.4900 0.3802
N 0.1863 0.8137 0.8849
N 0.4900 0.1629 0.8802
N 0.5100 0.8371 0.3802
N 0.8137 0.1863 0.3849
N 0.8371 0.5100 0.8802

Results
Calculated total energy, eV per cell: -93.71

(10)
A plane-wave DFT calculation with PBE was carried out for a relaxed structure of Mn2AlN.

Unit cell a=3.9641 b=3.9641 c=3.9641 alpha=60.00 beta=60.00 gamma=60.00
Sites, in units of the cell vectors:
Mn 0.2500 0.2500 0.2500
Mn 0.7500 0.7500 0.7500
Al 0.0000 0.0000 0.0000
N 0.5000 0.5000 0.5000

Results
Calculated total energy, eV per cell: -26.70

(11)
A plane-wave DFT calculation with PBE was carried out for a relaxed structure of MnAlN2.

Unit cell a=5.4699 b=5.4699 c=5.4699 alpha=131.56 beta=131.56 gamma=70.92
Sites, in units of the cell vectors:
Mn 0.0000 0.0000 0.0000
Mn 0.7500 0.2500 0.5000
Al 0.2500 0.7500 0.5000
Al 0.5000 0.5000 0.0000
N 0.1393 0.6250 0.0143
N 0.3750 0.3893 0.5143
N 0.6107 0.1250 0.9857
N 0.8750 0.8607 0.4857

Results
Calculated total energy, eV per cell: -64.14

(12)
A plane-wave DFT calculation with PBE was carried out for a relaxed structure of MnNb2AlN.

Unit cell a=4.3149 b=4.3149 c=3.8197 alpha=90.00 beta=90.00 gamma=90.00
Sites, in units of the cell vectors:
Mn 0.0000 0.0000 0.0000
Nb 0.0000 0.5000 0.5000
Nb 0.5000 0.0000 0.5000
Al 0.5000 0.5000 0.0000
N 0.0000 0.0000 0.5000

Results
Calculated total energy, eV per cell: -43.78